## KRh2Se (PBE)

Data for crystalline KRh2Se at its relaxed geometry.

Properties
Its formation energy without anion corrections is 45 kJ/mol of atoms. The density is 7.42 Mg/m³.

abc: 5.8911 9.7793 2.8497
angles: 90.00 118.04 90.00
Closest atoms and distances in Å follow each position.
Space group C2/m (No. 12)
Asymmetric unit:
K 0.0000 0.0000 0.0000 (multiplicity 2)  2 K 2.85, 4 Rh 2.85, 4 Se 2.95-2.98
Rh 0.2500 0.2500 0.0000 (multiplicity 4)  6 Rh 2.85-2.98, 2 K 2.85, 2 Se 2.85
Se 0.0000 0.5000 0.0000 (multiplicity 2)  2 Se 2.85, 4 Rh 2.85, 4 K 2.95-2.98